No. 1
Material: NaPdCl3
Method: DFT, PBE-GGA
State: relaxed

Structure (CIF):
```
data_NaPdCl3
_chemical_formula_sum 'Na4 Pd4 Cl12'
_cell_length_a 8.4302
_cell_length_b 8.7463
_cell_length_c 8.7463
_cell_angle_alpha 55.65
_cell_angle_beta 73.47
_cell_angle_gamma 73.47
_space_group_name_H-M_alt 'P 1'
_space_group_IT_number 1
loop_
_space_group_symop_operation_xyz
'x,y,z'
loop_
_atom_site_label
_atom_site_fract_x
_atom_site_fract_y
_atom_site_fract_z
Na1 0.7500 0.0908 0.9092
Na2 0.7500 0.5952 0.4048
Na3 0.2500 0.4048 0.5952
Na4 0.2500 0.9092 0.0908
Pd1 0.7497 0.5873 0.9119
Pd2 0.2497 0.9119 0.5873
Pd3 0.7503 0.0881 0.4127
Pd4 0.2503 0.4127 0.0881
Cl1 0.6204 0.8265 0.6562
Cl2 0.1204 0.6562 0.8265
Cl3 0.8643 0.4285 0.7526
Cl4 0.8700 0.9347 0.2483
Cl5 0.3643 0.7526 0.4285
Cl6 0.3700 0.2483 0.9347
Cl7 0.6300 0.7517 0.0653
Cl8 0.6357 0.2474 0.5715
Cl9 0.1300 0.0653 0.7517
Cl10 0.1357 0.5715 0.2474
Cl11 0.8796 0.3438 0.1735
Cl12 0.3796 0.1735 0.3438
```

Summary:
- formation energy from raw total energies (eV per atom) = -0.98
- space-group type = C2/c, No. 15
- total magnetic moment (μB per cell) = 0.00
- crystal system = monoclinic

=====

No. 2
Material: NaPdCl3
Method: DFT, PBE-GGA
State: relaxed

Structure (CIF):
```
data_NaPdCl3
_chemical_formula_sum 'Na1 Pd1 Cl3'
_cell_length_a 5.0681
_cell_length_b 5.0681
_cell_length_c 5.0681
_cell_angle_alpha 90.00
_cell_angle_beta 90.00
_cell_angle_gamma 90.00
_space_group_name_H-M_alt 'P 1'
_space_group_IT_number 1
loop_
_space_group_symop_operation_xyz
'x,y,z'
loop_
_atom_site_label
_atom_site_fract_x
_atom_site_fract_y
_atom_site_fract_z
Na1 0.0000 0.0000 0.0000
Pd1 0.5000 0.5000 0.5000
Cl1 0.0000 0.5000 0.0000
Cl2 0.0000 0.0000 0.5000
Cl3 0.5000 0.0000 0.0000
```

Summary:
- formation energy from raw total energies (eV per atom) = -0.05
- space-group type = Pm-3m, No. 221
- total magnetic moment (μB per cell) = 2.00
- D(E_F) (states/eV/f.u.) = 8.87
- crystal system = cubic

=====

No. 3
Material: NaPdCl3
Method: DFT, PBE-GGA
State: relaxed

Structure (CIF):
```
data_NaPdCl3
_chemical_formula_sum 'Na1 Pd1 Cl3'
_cell_length_a 4.9214
_cell_length_b 4.9214
_cell_length_c 4.9214
_cell_angle_alpha 90.00
_cell_angle_beta 90.00
_cell_angle_gamma 90.00
_space_group_name_H-M_alt 'P 1'
_space_group_IT_number 1
loop_
_space_group_symop_operation_xyz
'x,y,z'
loop_
_atom_site_label
_atom_site_fract_x
_atom_site_fract_y
_atom_site_fract_z
Na1 0.5000 0.5000 0.5000
Pd1 0.0000 0.0000 0.0000
Cl1 0.0000 0.5000 0.0000
Cl2 0.0000 0.0000 0.5000
Cl3 0.5000 0.0000 0.0000
```

Summary:
- formation energy from raw total energies (eV per atom) = -0.89
- space-group type = Pm-3m, No. 221
- total magnetic moment (μB per cell) = 0.00
- D(E_F) (states/eV/f.u.) = 1.17
- crystal system = cubic

=====

No. 4
Material: Na2PdCl4
Method: DFT, PBE-GGA
State: relaxed

Structure (CIF):
```
data_Na2PdCl4
_chemical_formula_sum 'Na8 Pd4 Cl16'
_cell_length_a 9.6742
_cell_length_b 9.6742
_cell_length_c 7.6677
_cell_angle_alpha 90.00
_cell_angle_beta 90.00
_cell_angle_gamma 90.00
_space_group_name_H-M_alt 'P 1'
_space_group_IT_number 1
loop_
_space_group_symop_operation_xyz
'x,y,z'
loop_
_atom_site_label
_atom_site_fract_x
_atom_site_fract_y
_atom_site_fract_z
Na1 0.8056 0.1944 0.2500
Na2 0.6944 0.6944 0.2500
Na3 0.3056 0.3056 0.2500
Na4 0.1944 0.8056 0.2500
Na5 0.6944 0.3056 0.7500
Na6 0.8056 0.8056 0.7500
Na7 0.1944 0.1944 0.7500
Na8 0.3056 0.6944 0.7500
Pd1 0.0000 0.5000 0.0648
Pd2 0.0000 0.5000 0.5648
Pd3 0.5000 0.0000 0.9352
Pd4 0.5000 0.0000 0.4352
Cl1 0.9456 0.2647 0.5688
Cl2 0.7647 0.5544 0.5688
Cl3 0.2353 0.4456 0.5688
Cl4 0.2353 0.5544 0.0688
Cl5 0.0544 0.2647 0.0688
Cl6 0.7647 0.4456 0.0688
Cl7 0.2647 0.0544 0.4312
Cl8 0.9456 0.7353 0.0688
Cl9 0.4456 0.7647 0.4312
Cl10 0.5544 0.2353 0.4312
Cl11 0.5544 0.7647 0.9312
Cl12 0.7353 0.9456 0.4312
Cl13 0.4456 0.2353 0.9312
Cl14 0.7353 0.0544 0.9312
Cl15 0.2647 0.9456 0.9312
Cl16 0.0544 0.7353 0.5688
```

Summary:
- formation energy from raw total energies (eV per atom) = -1.24
- space-group type = P4/ncc, No. 130
- total magnetic moment (μB per cell) = 0.00
- crystal system = tetragonal

=====

No. 5
Material: NaPd2Cl6
Method: DFT, PBE-GGA
State: relaxed

Structure (CIF):
```
data_NaPd2Cl6
_chemical_formula_sum 'Na2 Pd4 Cl12'
_cell_length_a 7.4170
_cell_length_b 8.5743
_cell_length_c 8.5743
_cell_angle_alpha 85.46
_cell_angle_beta 81.08
_cell_angle_gamma 81.08
_space_group_name_H-M_alt 'P 1'
_space_group_IT_number 1
loop_
_space_group_symop_operation_xyz
'x,y,z'
loop_
_atom_site_label
_atom_site_fract_x
_atom_site_fract_y
_atom_site_fract_z
Na1 0.2500 0.0915 0.9085
Na2 0.7500 0.9085 0.0915
Pd1 0.1246 0.7404 0.7376
Pd2 0.3754 0.2624 0.2596
Pd3 0.8754 0.2596 0.2624
Pd4 0.6246 0.7376 0.7404
Cl1 0.3748 0.8638 0.6195
Cl2 0.1252 0.3805 0.1362
Cl3 0.6252 0.1362 0.3805
Cl4 0.8748 0.6195 0.8638
Cl5 0.8018 0.7052 0.5003
Cl6 0.6982 0.4997 0.2948
Cl7 0.1982 0.2948 0.4997
Cl8 0.3018 0.5003 0.7052
Cl9 0.9582 0.9881 0.7915
Cl10 0.5418 0.2085 0.0119
Cl11 0.0418 0.0119 0.2085
Cl12 0.4582 0.7915 0.9881
```

Summary:
- formation energy from raw total energies (eV per atom) = -0.66
- space-group type = C2/c, No. 15
- total magnetic moment (μB per cell) = 2.02
- D(E_F) (states/eV/f.u.) = 1.10
- crystal system = monoclinic

=====

No. 6
Material: Na2PdCl4
Method: DFT, PBE-GGA
State: relaxed

Structure (CIF):
```
data_Na2PdCl4
_chemical_formula_sum 'Na2 Pd1 Cl4'
_cell_length_a 4.9733
_cell_length_b 4.9733
_cell_length_c 7.8264
_cell_angle_alpha 71.47
_cell_angle_beta 71.47
_cell_angle_gamma 90.00
_space_group_name_H-M_alt 'P 1'
_space_group_IT_number 1
loop_
_space_group_symop_operation_xyz
'x,y,z'
loop_
_atom_site_label
_atom_site_fract_x
_atom_site_fract_y
_atom_site_fract_z
Na1 0.3673 0.3673 0.2653
Na2 0.6327 0.6327 0.7347
Pd1 0.0000 0.0000 0.0000
Cl1 0.1730 0.1730 0.6541
Cl2 0.8270 0.8270 0.3459
Cl3 0.0000 0.5000 0.0000
Cl4 0.5000 0.0000 0.0000
```

Summary:
- formation energy from raw total energies (eV per atom) = -1.14
- space-group type = I4/mmm, No. 139
- total magnetic moment (μB per cell) = 0.00
- D(E_F) (states/eV/f.u.) = 0.51
- crystal system = tetragonal

=====

No. 7
Material: NaPdCl5
Method: DFT, PBE-GGA
State: relaxed

Structure (CIF):
```
data_NaPdCl5
_chemical_formula_sum 'Na2 Pd2 Cl10'
_cell_length_a 7.5475
_cell_length_b 7.5475
_cell_length_c 9.0232
_cell_angle_alpha 72.29
_cell_angle_beta 72.29
_cell_angle_gamma 53.75
_space_group_name_H-M_alt 'P 1'
_space_group_IT_number 1
loop_
_space_group_symop_operation_xyz
'x,y,z'
loop_
_atom_site_label
_atom_site_fract_x
_atom_site_fract_y
_atom_site_fract_z
Na1 0.4438 0.5562 0.2500
Na2 0.5562 0.4438 0.7500
Pd1 0.0000 0.0000 0.0000
Pd2 0.0000 0.0000 0.5000
Cl1 0.1153 0.6297 0.1079
Cl2 0.1033 0.6340 0.5219
Cl3 0.6297 0.1153 0.6079
Cl4 0.8753 0.1247 0.2500
Cl5 0.3660 0.8967 0.9781
Cl6 0.6340 0.1033 0.0219
Cl7 0.1247 0.8753 0.7500
Cl8 0.3703 0.8847 0.3921
Cl9 0.8967 0.3660 0.4781
Cl10 0.8847 0.3703 0.8921
```

Summary:
- formation energy from raw total energies (eV per atom) = -0.69
- space-group type = C2/c, No. 15
- total magnetic moment (μB per cell) = 0.00
- D(E_F) (states/eV/f.u.) = 7.15
- crystal system = monoclinic

=====

No. 8
Material: NaPdCl3
Method: DFT, PBE-GGA
State: relaxed

Structure (CIF):
```
data_NaPdCl3
_chemical_formula_sum 'Na2 Pd2 Cl6'
_cell_length_a 4.3800
_cell_length_b 8.5319
_cell_length_c 8.5329
_cell_angle_alpha 73.36
_cell_angle_beta 66.69
_cell_angle_gamma 66.69
_space_group_name_H-M_alt 'P 1'
_space_group_IT_number 1
loop_
_space_group_symop_operation_xyz
'x,y,z'
loop_
_atom_site_label
_atom_site_fract_x
_atom_site_fract_y
_atom_site_fract_z
Na1 0.7724 0.4691 0.9081
Na2 0.7430 0.7486 0.1875
Pd1 0.2576 0.2777 0.3790
Pd2 0.2577 0.9401 0.7166
Cl1 0.2639 0.2248 0.6637
Cl2 0.2514 0.9930 0.4320
Cl3 0.2647 0.6603 0.7521
Cl4 0.2647 0.3131 0.0993
Cl5 0.2507 0.9047 0.9963
Cl6 0.2506 0.5575 0.3436
```

Summary:
- formation energy from raw total energies (eV per atom) = -0.96
- space-group type = C2/m, No. 12
- total magnetic moment (μB per cell) = 0.00
- crystal system = monoclinic